This record from the Alexandria database describes crystalline BaCdSnHg at its relaxed geometry. The functional is PBE.

Values from the calculation:
Symmetry: F-43m (216)
Uncorrected energy: -8.58 eV/cell
Energy relative to the elements: -0.36 eV per atom
Size of the total moment: 0.00 μB/cell

Geometry as extended XYZ:
```
4
Lattice="-2.187 4.719 -1.926 -4.799 1.873 2.054 -0.068 4.532 3.196" Properties=species:S:1:pos:R:3 pbc="T T T"
Cd -5.291 8.343 2.493
Hg -1.764 2.781 0.831
Sn 0.000 0.000 0.000
Ba -3.527 5.562 1.662
```